{
  "formula": "Nd8Ni2Os",
  "functional": "GGA-PBE",
  "state": "relaxed",
  "relative_energy_mev_per_atom": 0,
  "dos_at_fermi_per_ev_cell": 12.09,
  "final_energy_ev_per_atom": -5.636,
  "formation_enthalpy_0k_mev_per_atom": -96.6,
  "volume_a3_per_fu": 304.6,
  "spacegroup": "No. 12",
  "lattice": [[8.881, -2.575, 0.000], [8.881, 2.575, 0.000], [-1.342, 0.000, 6.658]],
  "species": ["Nd", "Nd", "Nd", "Nd", "Nd", "Nd", "Nd", "Nd", "Ni", "Ni", "Os"],
  "frac_coords": [[0.040, 0.040, 0.292], [0.200, 0.200, 0.837], [0.331, 0.331, 0.532], [0.413, 0.413, 0.069], [0.587, 0.587, 0.931], [0.669, 0.669, 0.468], [0.800, 0.800, 0.163], [0.960, 0.960, 0.708], [0.200, 0.200, 0.238], [0.800, 0.800, 0.762], [0.500, 0.500, 0.500]]
}